First-principles (PBE) data for crystalline VMoAuC2 at its relaxed geometry, as listed in the Alexandria database.

```
5
Lattice="3.9133 0.0000 0.0000 0.0000 3.9133 0.0000 0.0000 0.0000 5.1294" Properties=species:S:1:pos:R:3 pbc="T T T"
V 0.0000 0.0000 0.0000
Mo 1.9566 1.9566 0.0000
Au 0.0000 0.0000 2.5647
C 0.0000 1.9566 2.5647
C 1.9566 0.0000 2.5647
```

Computed properties:
- Formation enthalpy at 0 K: 2.723 eV per atom

---

First-principles (PBE) data for crystalline RbNbGaTc2 at its relaxed geometry, as listed in the Alexandria database.

```
5
Lattice="4.7220 0.0000 0.0000 0.0000 4.7220 0.0000 0.0000 0.0000 5.1170" Properties=species:S:1:pos:R:3 pbc="T T T"
Rb 0.0000 0.0000 0.0000
Nb 2.3610 2.3610 0.0000
Ga 0.0000 0.0000 2.5585
Tc 0.0000 2.3610 2.5585
Tc 2.3610 0.0000 2.5585
```

Computed properties:
- Formation enthalpy at 0 K: 2.082 eV per atom

---

First-principles (PBE) data for crystalline TeOsCl2 at its relaxed geometry, as listed in the Alexandria database.

```
4
Lattice="3.0669 0.0000 0.0000 0.0000 3.0669 0.0000 0.0000 0.0000 11.2795" Properties=species:S:1:pos:R:3 pbc="T T T"
Te 0.0000 0.0000 0.0000
Os 0.0000 0.0000 5.6397
Cl 1.5335 1.5335 4.0126
Cl 1.5335 1.5335 7.2669
```

Computed properties:
- Energy relative to the lowest polymorph listed for this composition: 3.10 eV per formula unit
- E_form (uncorrected): 0.7308 eV per atom

---

First-principles (PBE) data for crystalline MgFeCo2 at its relaxed geometry, as listed in the Alexandria database.

```
4
Lattice="-1.4451 2.0736 4.1872 1.4451 -2.0736 4.1872 1.4451 2.0736 -4.1872" Properties=species:S:1:pos:R:3 pbc="T T T"
Mg 0.0000 0.0000 0.0000
Fe 0.0000 2.0736 1.9356
Co 1.4451 0.0000 2.2002
Co 0.0000 0.0000 4.1748
```

Computed properties:
- Formation enthalpy at 0 K: 0.096 eV per atom

---

First-principles (PBE) data for crystalline TmSc7Co2 at its relaxed geometry, as listed in the Alexandria database.

```
10
Lattice="4.0518 -6.3872 0.0000 4.0518 6.3872 0.0000 0.0000 0.0000 4.7765" Properties=species:S:1:pos:R:3 pbc="T T T"
Tm 0.0000 0.0000 0.0000
Sc 1.5945 1.7249 2.3882
Sc 4.0518 2.5735 0.0000
Sc 1.5945 -1.7249 2.3882
Sc 4.0518 0.0000 2.3882
Sc 6.5091 1.7249 2.3882
Sc 4.0518 -2.5735 0.0000
Sc 6.5091 -1.7249 2.3882
Co 4.0518 2.6511 2.3882
Co 4.0518 -2.6511 2.3882
```

Computed properties:
- Formation enthalpy at 0 K: 0.068 eV per atom

---

First-principles (PBE) data for crystalline HfAg3Se at its relaxed geometry, as listed in the Alexandria database.

```
5
Lattice="4.9439 0.0000 0.0000 0.0000 4.9439 0.0000 0.0000 0.0000 4.9439" Properties=species:S:1:pos:R:3 pbc="T T T"
Hf 0.0000 0.0000 0.0000
Ag 0.0000 2.4719 2.4719
Ag 2.4719 0.0000 2.4719
Ag 2.4719 2.4719 0.0000
Se 2.4719 2.4719 2.4719
```

Computed properties:
- Energy relative to the lowest polymorph listed for this composition: 0.00 eV per formula unit
- E_form (uncorrected): 0.8539 eV per atom

---

First-principles (PBE) data for crystalline Nb2Cr2Fe at its relaxed geometry, as listed in the Alexandria database.

```
10
Lattice="5.8927 0.0000 0.0000 0.0000 5.8927 0.0000 0.0000 0.0000 4.1920" Properties=species:S:1:pos:R:3 pbc="T T T"
Nb 1.0887 1.8576 0.0000
Nb 1.8576 4.8040 0.0000
Nb 4.0351 1.0887 0.0000
Nb 4.8040 4.0351 0.0000
Cr 0.8056 3.7520 2.0960
Cr 2.1407 0.8056 2.0960
Cr 3.7520 5.0871 2.0960
Cr 5.0871 2.1407 2.0960
Fe 0.0000 0.0000 2.0960
Fe 2.9464 2.9464 2.0960
```

Computed properties:
- Formation enthalpy at 0 K: 0.252 eV per atom

---

First-principles (PBE) data for crystalline TbSm2Cu2Ge2 at its relaxed geometry, as listed in the Alexandria database.

```
7
Lattice="2.1226 1.2255 10.1925 -2.1226 1.2255 10.1925 0.0000 -2.4509 10.1925" Properties=species:S:1:pos:R:3 pbc="T T T"
Tb 0.0000 0.0000 0.0000
Sm 0.0000 0.0000 3.7139
Sm 0.0000 0.0000 26.8636
Cu 0.0000 0.0000 11.9744
Cu 0.0000 0.0000 18.6031
Ge 0.0000 0.0000 8.2987
Ge 0.0000 0.0000 22.2787
```

Computed properties:
- Formation enthalpy at 0 K: -0.504 eV per atom

---

First-principles (PBE) data for crystalline VInPb2 at its relaxed geometry, as listed in the Alexandria database.

```
4
Lattice="1.6590 0.9578 11.7204 -1.6590 0.9578 11.7204 0.0000 -1.9156 11.7204" Properties=species:S:1:pos:R:3 pbc="T T T"
V 0.0000 0.0000 0.0000
In 0.0000 0.0000 17.5806
Pb 0.0000 0.0000 2.8912
Pb 0.0000 0.0000 32.2699
```

Computed properties:
- Formation enthalpy at 0 K: 0.619 eV per atom

---

First-principles (PBE) data for crystalline YZr3 at its relaxed geometry, as listed in the Alexandria database.

```
4
Lattice="5.3201 0.0000 0.0000 0.0000 5.3201 0.0000 0.0000 0.0000 5.3201" Properties=species:S:1:pos:R:3 pbc="T T T"
Y 0.0000 0.0000 0.0000
Zr 0.0000 0.0000 2.6601
Zr 0.0000 2.6601 0.0000
Zr 2.6601 0.0000 0.0000
```

Computed properties:
- Energy relative to the lowest polymorph listed for this composition: 8.41 eV per formula unit
- Formation enthalpy at 0 K: 2.155 eV per atom

---

First-principles (PBE) data for crystalline Ni2PtSeN at its relaxed geometry, as listed in the Alexandria database.

```
5
Lattice="3.8268 0.0000 0.0000 0.0000 3.8268 0.0000 0.0000 0.0000 4.4034" Properties=species:S:1:pos:R:3 pbc="T T T"
Ni 0.0000 1.9134 0.0000
Ni 1.9134 0.0000 0.0000
Pt 0.0000 0.0000 2.2017
Se 1.9134 1.9134 2.2017
N 0.0000 0.0000 0.0000
```

Computed properties:
- E_form (uncorrected): 0.3105 eV per atom

---

First-principles (PBE) data for crystalline Dy2AlFe at its relaxed geometry, as listed in the Alexandria database.

```
4
Lattice="3.4909 0.0000 0.0000 0.0000 3.4909 0.0000 0.0000 0.0000 7.0833" Properties=species:S:1:pos:R:3 pbc="T T T"
Dy 0.0000 0.0000 1.6187
Dy 0.0000 0.0000 5.4646
Al 1.7455 1.7455 3.5417
Fe 1.7455 1.7455 0.0000
```

Computed properties:
- Energy relative to the lowest polymorph listed for this composition: 0.00 eV per formula unit
- Formation enthalpy at 0 K: -0.130 eV per atom

---

First-principles (PBE) data for crystalline AlSiPb3 at its relaxed geometry, as listed in the Alexandria database.

```
5
Lattice="5.4168 0.0000 0.0000 0.0000 5.4168 0.0000 0.0000 0.0000 5.4168" Properties=species:S:1:pos:R:3 pbc="T T T"
Al 0.0000 0.0000 0.0000
Si 2.7084 2.7084 2.7084
Pb 0.0000 2.7084 2.7084
Pb 2.7084 0.0000 2.7084
Pb 2.7084 2.7084 0.0000
```

Computed properties:
- E_form (uncorrected): 0.6675 eV per atom

---

no.,magnetic moment (μB per cell)
1,0.0
2,0.0
3,3.1
4,5.3
5,0.0
6,0.0
7,0.0
8,0.0
9,3.4
10,0.0
11,0.0
12,1.2
13,0.0